{
  "formula": "NdY5Er7",
  "functional": "PBE-GGA",
  "state": "optimized geometry",
  "delta_e_f_mev_per_atom": 269,
  "dos_ef_per_ev_cell": 25.6,
  "magnetic_moment_mub_per_atom": 0.000,
  "energy_ev_per_atom": -5.041,
  "lattice": [[-3.3671, 5.5157, 5.7682], [3.3671, -5.5157, 5.7682], [3.3671, 5.5157, -5.7682]],
  "species": ["Nd", "Y", "Y", "Y", "Y", "Y", "Er", "Er", "Er", "Er", "Er", "Er", "Er"],
  "frac_coords": [[0.0000, 0.0000, 0.0000], [0.0231, 0.0297, 0.4587], [0.0231, 0.5644, 0.9934], [0.3000, 0.8000, 0.5000], [0.5710, 0.0297, 0.0066], [0.5710, 0.5644, 0.5413], [0.2180, 0.5475, 0.6704], [0.3005, 0.3005, 0.0000], [0.3788, 0.0490, 0.3298], [0.6037, 0.6037, 0.0000], [0.7192, 0.0490, 0.6702], [0.7968, 0.2968, 0.5000], [0.8771, 0.5475, 0.3296]]
}



{
  "formula": "Nd2Y3Er",
  "functional": "PBE-GGA",
  "state": "optimized geometry",
  "delta_e_f_mev_per_atom": 152,
  "dos_ef_per_ev_cell": 22.4,
  "magnetic_moment_mub_per_atom": 0.000,
  "energy_ev_per_atom": -5.429,
  "lattice": [[7.4658, -4.8974, 0.0000], [7.4658, 4.8974, 0.0000], [-2.4436, 0.0000, 5.5320]],
  "species": ["Nd", "Nd", "Nd", "Nd", "Y", "Y", "Y", "Y", "Y", "Y", "Er", "Er"],
  "frac_coords": [[0.0849, 0.6486, 0.6165], [0.3514, 0.9151, 0.8835], [0.6486, 0.0849, 0.1165], [0.9151, 0.3514, 0.3835], [0.1101, 0.8899, 0.2500], [0.1851, 0.3533, 0.0199], [0.3533, 0.1851, 0.5199], [0.6467, 0.8149, 0.4801], [0.8149, 0.6467, 0.9801], [0.8899, 0.1101, 0.7500], [0.5000, 0.5000, 0.0000], [0.5000, 0.5000, 0.5000]]
}



{
  "formula": "Nd2YEr12",
  "functional": "PBE-GGA",
  "state": "optimized geometry",
  "delta_e_f_mev_per_atom": 370,
  "dos_ef_per_ev_cell": 57.7,
  "magnetic_moment_mub_per_atom": 0.000,
  "energy_ev_per_atom": -4.347,
  "lattice": [[6.4160, 0.0000, 0.0000], [0.0000, 6.4160, 0.0000], [0.0000, 0.0000, 24.6155]],
  "species": ["Nd", "Nd", "Nd", "Nd", "Y", "Y", "Er", "Er", "Er", "Er", "Er", "Er", "Er", "Er", "Er", "Er", "Er", "Er", "Er", "Er", "Er", "Er", "Er", "Er", "Er", "Er", "Er", "Er", "Er", "Er"],
  "frac_coords": [[0.2500, 0.7500, 0.2360], [0.2500, 0.7500, 0.7640], [0.7500, 0.2500, 0.2360], [0.7500, 0.2500, 0.7640], [0.2500, 0.7500, 0.5000], [0.7500, 0.2500, 0.5000], [0.0007, 0.5007, 0.3874], [0.0007, 0.9993, 0.6126], [0.0811, 0.5811, 0.9394], [0.0811, 0.9189, 0.0606], [0.2500, 0.2500, 0.1608], [0.2500, 0.2500, 0.2868], [0.2500, 0.2500, 0.7132], [0.2500, 0.2500, 0.8392], [0.4189, 0.5811, 0.0606], [0.4189, 0.9189, 0.9394], [0.4993, 0.5007, 0.6126], [0.4993, 0.9993, 0.3874], [0.5007, 0.0007, 0.6126], [0.5007, 0.4993, 0.3874], [0.5811, 0.0811, 0.0606], [0.5811, 0.4189, 0.9394], [0.7500, 0.7500, 0.1608], [0.7500, 0.7500, 0.2868], [0.7500, 0.7500, 0.7132], [0.7500, 0.7500, 0.8392], [0.9189, 0.0811, 0.9394], [0.9189, 0.4189, 0.0606], [0.9993, 0.0007, 0.3874], [0.9993, 0.4993, 0.6126]]
}



{
  "formula": "Nd19Y6Er4",
  "functional": "PBE-GGA",
  "state": "optimized geometry",
  "delta_e_f_mev_per_atom": 361,
  "dos_ef_per_ev_cell": 42.2,
  "magnetic_moment_mub_per_atom": 0.000,
  "energy_ev_per_atom": -4.730,
  "lattice": [[-6.3499, 6.3499, 6.3499], [6.3499, -6.3499, 6.3499], [6.3499, 6.3499, -6.3499]],
  "species": ["Nd", "Nd", "Nd", "Nd", "Nd", "Nd", "Nd", "Nd", "Nd", "Nd", "Nd", "Nd", "Nd", "Nd", "Nd", "Nd", "Nd", "Nd", "Nd", "Y", "Y", "Y", "Y", "Y", "Y", "Er", "Er", "Er", "Er"],
  "frac_coords": [[0.0000, 0.0000, 0.0000], [0.0000, 0.2570, 0.2570], [0.0000, 0.7430, 0.7430], [0.0249, 0.8053, 0.3450], [0.1947, 0.2196, 0.5397], [0.2196, 0.5397, 0.1947], [0.2570, 0.0000, 0.2570], [0.2570, 0.2570, 0.0000], [0.3201, 0.7804, 0.9751], [0.3450, 0.0249, 0.8053], [0.4603, 0.6799, 0.6550], [0.5397, 0.1947, 0.2196], [0.6550, 0.4603, 0.6799], [0.6799, 0.6550, 0.4603], [0.7430, 0.0000, 0.7430], [0.7430, 0.7430, 0.0000], [0.7804, 0.9751, 0.3201], [0.8053, 0.3450, 0.0249], [0.9751, 0.3201, 0.7804], [0.1263, 0.6263, 0.5000], [0.3737, 0.5000, 0.8737], [0.5000, 0.1263, 0.6263], [0.5000, 0.8737, 0.3737], [0.6263, 0.5000, 0.1263], [0.8737, 0.3737, 0.5000], [0.0000, 0.0000, 0.6388], [0.0000, 0.6388, 0.0000], [0.3612, 0.3612, 0.3612], [0.6388, 0.0000, 0.0000]]
}



Question: Number 2 is which compound?
Answer: Nd2Y3Er